(1)
SrAlSn2 | PBE | optimized geometry

For the magnetic moment, the calculation gives 0.000 μB/atom.

The structure belongs to space group I-42d (No. 122); the cell edges are 5.539, 5.539 and 17.931 Å and the angles 90.00°, 90.00° and 90.00°. The asymmetric unit holds Sr at (0.000, 0.000, 0.000), Al at (0.000, 0.000, 0.500) and Sn at (0.128, 0.250, 0.625).

(2)
Sr3AlSn3 | PBE | optimized geometry

The value obtained for the energy above the most stable polymorph in this dataset is 10.1 kJ/mol of atoms. For the magnetic moment, the calculation gives 0.000 μB/atom.

The structure belongs to space group C2/m (No. 12); the cell edges are 8.673, 11.928 and 8.945 Å and the angles 90.00°, 98.40° and 90.00°. The asymmetric unit holds Sr at (0.000, 0.188, 0.000), Sr at (0.000, 0.246, 0.500), Sr at (0.131, 0.500, 0.843), Al at (0.188, 0.500, 0.476), Sn at (0.029, 0.000, 0.289) and Sn at (0.222, 0.362, 0.226).

(3)
Sr3Al2Sn3 | PBE | optimized geometry

The value obtained for the energy above the most stable polymorph in this dataset is 0.0 kJ/mol of atoms. For the magnetic moment, the calculation gives 0.000 μB/atom.

The structure belongs to space group Cmcm (No. 63); the cell edges are 4.792, 12.381 and 16.092 Å and the angles 90.00°, 90.00° and 90.00°. The asymmetric unit holds Sr at (0.000, 0.068, 0.109), Sr at (0.000, 0.346, 0.250), Al at (0.000, 0.235, 0.600), Sn at (0.000, 0.359, 0.750) and Sn at (0.000, 0.366, 0.046).

no.,uncorrected energy (eV/atom),DOS(E_F) (states/eV/cell)
1,-3.47,4.8
2,-3.43,15.7
3,-3.55,12.9